(1)
{
  "formula": "CuRe3Ni",
  "functional": "PBEsol",
  "state": "optimized geometry",
  "lattice": [[4.3425, 0.0000, 0.0000], [0.0000, 4.3425, 0.0000], [0.0000, 0.0000, 4.3425]],
  "species": ["Re", "Re", "Re", "Cu", "Ni"],
  "frac_coords": [[0.0000, 0.5000, 0.0000], [0.0000, 0.0000, 0.5000], [0.5000, 0.0000, 0.0000], [0.5000, 0.5000, 0.5000], [0.0000, 0.0000, 0.0000]],
  "formation_energy_ev_per_atom": 2.015,
  "dos_ef_per_ev_cell": 5.05,
  "space_group": "No. 221"
}

=====

(2)
{
  "formula": "Zn2CdAu2",
  "functional": "PBEsol",
  "state": "optimized geometry",
  "lattice": [[3.0932, 0.0000, 0.0000], [0.0000, 7.3639, 0.0000], [0.0000, 0.0000, 7.3639]],
  "species": ["Zn", "Zn", "Zn", "Zn", "Au", "Au", "Au", "Au", "Cd", "Cd"],
  "frac_coords": [[0.5000, 0.1541, 0.6541], [0.5000, 0.6541, 0.8459], [0.5000, 0.8459, 0.3459], [0.5000, 0.3459, 0.1541], [0.0000, 0.3565, 0.8565], [0.0000, 0.8565, 0.6435], [0.0000, 0.6435, 0.1435], [0.0000, 0.1435, 0.3565], [0.0000, 0.0000, 0.0000], [0.0000, 0.5000, 0.5000]],
  "polymorph_energy_ev_per_atom": 0.000,
  "formation_energy_ev_per_atom": -0.180,
  "dos_ef_per_ev_cell": 1.87,
  "space_group": "No. 127"
}

=====

(3)
{
  "formula": "ZrInW2",
  "functional": "PBEsol",
  "state": "optimized geometry",
  "lattice": [[-2.7638, 0.6227, 0.6113], [-2.0223, -0.2025, -2.0662], [-3.1926, -9.4016, 2.0134]],
  "species": ["In", "W", "W", "Zr"],
  "frac_coords": [[0.2540, 0.2540, 0.2381], [0.0023, 0.0023, 0.9932], [0.7458, 0.7458, 0.7627], [0.4980, 0.4980, 0.5061]],
  "formation_energy_ev_per_atom": 0.441,
  "dos_ef_per_ev_cell": 4.79,
  "space_group": "No. 160"
}

=====

no.,total energy (eV/atom)
1,-8.08
2,-2.62
3,-9.48